(1)
Material: TbMnOs
Method: DFT, PBE-GGA
State: relaxed

Values from the calculation:
Its spin magnetization is 0.850 μB per atom. For the energy relative to the lowest polymorph listed for this composition, the calculation gives 0 meV per atom. The value obtained for the energy relative to the elements is -0.19 eV/atom.

abc: 5.220 5.353 7.596
angles: 90.00 90.00 90.00
Space group Imma (No. 74)
Symmetry-distinct sites (fractional):
Tb  0.000  0.250  0.122 x4
Mn  0.000  0.000  0.500 x4
Os  0.250  0.250  0.750 x4

***

(2)
Material: Mg5AlCd2Ga2
Method: DFT, PBE-GGA
State: relaxed

Values from the calculation:
Its spin magnetization is 0.000 μB per atom. The value obtained for the energy relative to the elements is -0.01 eV/atom.

abc: 11.779 11.779 3.149
angles: 90.00 90.00 90.00
Space group P4/mbm (No. 127)
Symmetry-distinct sites (fractional):
Mg  0.000  0.500  0.000 x2
Mg  0.016  0.206  0.000 x8
Al  0.000  0.000  0.500 x2
Cd  0.186  0.686  0.500 x4
Ga  0.141  0.359  0.500 x4

***

(3)
Material: CaNdTeAs
Method: DFT, PBE-GGA
State: relaxed

Values from the calculation:
Its spin magnetization is 0.000 μB per atom. Its raw formation energy is -1.51 eV per atom.

abc: 4.3843 4.3843 21.7881
angles: 90.00 90.00 120.00
Space group R3m (No. 160, hexagonal axes)
Symmetry-distinct sites (fractional):
Ca  0.0000  0.0000  0.0000 x3
Nd  0.0000  0.0000  0.4821 x3
Te  0.0000  0.0000  0.2429 x3
As  0.0000  0.0000  0.7444 x3

***

(4)
Material: Ga2TcP
Method: DFT, PBE-GGA
State: relaxed

Values from the calculation:
Its spin magnetization is 0.377 μB per atom. The value obtained for the energy relative to the elements is 0.33 eV/atom.

abc: 7.111 7.111 5.122
angles: 90.00 90.00 90.00
Space group I-42d (No. 122)
Symmetry-distinct sites (fractional):
Ga  0.229  0.250  0.125 x8
Tc  0.000  0.000  0.500 x4
P  0.000  0.000  0.000 x4

***

(5)
Material: Sm3Tm2Pb3
Method: DFT, PBE-GGA
State: relaxed

Values from the calculation:
Its spin magnetization is 0.000 μB per atom. The value obtained for the energy relative to the elements is -0.54 eV/atom.

abc: 9.1496 9.1496 6.6546
angles: 90.00 90.00 120.00
Space group P6_3/mcm (No. 193)
Symmetry-distinct sites (fractional):
Sm  0.0000  0.2389  0.2500 x6
Tm  0.3333  0.6667  0.0000 x4
Pb  0.0000  0.3977  0.7500 x6

***

(6)
Material: Ac3YTm3Se8
Method: DFT, PBE-GGA
State: relaxed

Values from the calculation:
Its spin magnetization is 0.000 μB per atom. Its raw formation energy is -1.83 eV per atom.

abc: 8.2898 8.2898 21.3886
angles: 90.00 90.00 120.00
Space group R-3m (No. 166, hexagonal axes)
Symmetry-distinct sites (fractional):
Ac  0.0000  0.5000  0.0000 x9
Y  0.0000  0.0000  0.5000 x3
Tm  0.0000  0.5000  0.5000 x9
Se  0.0000  0.0000  0.2388 x6
Se  0.0096  0.5048  0.7586 x18

***

(7)
Material: Mg2TlCd2In2
Method: DFT, PBE-GGA
State: relaxed

Values from the calculation:
Its spin magnetization is 0.000 μB per atom. The value obtained for the energy relative to the elements is 0.01 eV/atom.

abc: 5.0404 5.0404 24.2288
angles: 90.00 90.00 120.00
Space group R-3m (No. 166, hexagonal axes)
Symmetry-distinct sites (fractional):
Mg  0.0000  0.0000  0.1371 x6
Tl  0.0000  0.0000  0.0000 x3
Cd  0.0000  0.0000  0.4365 x6
In  0.0000  0.0000  0.2676 x6

***

(8)
Material: Tl3Te2Se4
Method: DFT, PBE-GGA
State: relaxed

Values from the calculation:
Its spin magnetization is 0.000 μB per atom. Its raw formation energy is -0.17 eV per atom. For the energy relative to the lowest polymorph listed for this composition, the calculation gives 0 meV per atom.

abc: 11.428 12.972 8.411
angles: 90.00 101.90 90.00
Space group C2/c (No. 15)
Symmetry-distinct sites (fractional):
Tl  0.000  0.116  0.250 x4
Tl  0.129  0.434  0.653 x8
Te  0.170  0.175  0.783 x8
Se  0.111  0.314  0.069 x8
Se  0.187  0.033  0.569 x8